# 1
## Sr3Cl (GGA-PBE)

Data for a geometry-optimized Sr3Cl structure.

```
4
Lattice="-1.096 -2.941 6.147 -0.487 -4.718 -5.014 4.063 -0.788 0.347" Properties=species:S:1:pos:R:3 pbc="T T T"
Sr 1.483 -1.865 3.247
Cl 0.000 0.000 0.000
Sr 1.788 -2.753 -2.333
Sr -0.791 -3.830 0.566
```

Computed properties:
**N(E_F)**: 2.98 states/eV per cell
**Symmetry**: Cmmm, No. 65
**Energy relative to the elements, uncorrected**: -0.459 eV/atom


# 2
## Ce8Hg2Ir (GGA-PBE)

Data for a geometry-optimized Ce8Hg2Ir structure.

```
11
Lattice="5.221 0.000 0.000 0.000 6.596 0.133 -2.610 -2.613 8.442" Properties=species:S:1:pos:R:3 pbc="T T T"
Ce 0.000 0.228 3.591
Hg 0.000 3.460 3.025
Ce 0.000 5.098 0.112
Ce 2.610 3.755 4.983
Ce 2.610 5.451 2.789
Ir 2.610 0.000 0.000
Ce 2.610 2.287 1.590
Ce 0.000 -1.468 5.786
Ce 0.000 1.696 6.985
Ce 2.610 -1.115 8.462
Hg 2.610 0.523 5.550
```

Computed properties:
**N(E_F)**: 32.96 states/eV per cell
**Symmetry**: C2/m, No. 12
**Energy relative to the elements**: -0.213 eV/atom


# 3
## Tb2ZnSi2 (GGA-PBE)

Data for a geometry-optimized Tb2ZnSi2 structure.

```
10
Lattice="-2.766 -0.845 -3.068 -2.011 -5.359 0.392 -8.271 2.319 3.920" Properties=species:S:1:pos:R:3 pbc="T T T"
Tb -10.611 -0.247 0.943
Si -5.632 -0.468 2.309
Tb -7.752 -2.822 1.971
Si -10.819 -3.139 1.926
Zn -7.645 0.086 1.074
Tb -2.436 -3.638 0.301
Tb -5.296 -1.063 -0.727
Si -7.416 -3.416 -1.065
Si -2.229 -0.746 -0.682
Zn -5.402 -3.970 0.170
```

Computed properties:
**N(E_F)**: 5.59 states/eV per cell
**Symmetry**: C2/m, No. 12
**Energy relative to the elements, uncorrected**: -0.662 eV/atom


# 4
## Si2PBr (GGA-PBE)

Data for a geometry-optimized Si2PBr structure.

```
4
Lattice="5.290 -0.017 -0.094 4.223 3.186 -0.094 0.646 0.215 5.772" Properties=species:S:1:pos:R:3 pbc="T T T"
Si 9.772 3.255 5.538
Si 6.124 2.040 0.293
P 3.540 1.179 5.534
Br 5.962 1.986 2.594
```

Computed properties:
**N(E_F)**: 1.62 states/eV per cell
**Symmetry**: Cm, No. 8
**Energy relative to the elements, uncorrected**: 0.189 eV/atom


# 5
## TaMnSb2 (GGA-PBE)

Data for a geometry-optimized TaMnSb2 structure.

```
4
Lattice="-3.193 -3.195 1.748 1.132 -4.706 0.176 0.805 -2.139 4.270" Properties=species:S:1:pos:R:3 pbc="T T T"
Sb -0.314 -2.510 1.549
Sb 0.000 0.000 0.000
Ta -0.941 -7.530 4.646
Mn -0.628 -5.020 3.097
```

Computed properties:
**N(E_F)**: 1.35 states/eV per cell
**Symmetry**: F-43m, No. 216
**Energy relative to the elements, uncorrected**: 0.536 eV/atom


# 6
## LaDyHgOs (GGA-PBE)

Data for a geometry-optimized LaDyHgOs structure.

```
4
Lattice="-1.952 2.353 4.137 -3.534 -2.378 2.883 1.218 -1.656 4.715" Properties=species:S:1:pos:R:3 pbc="T T T"
Dy -2.134 -0.841 5.867
Hg -3.201 -1.261 8.801
La 0.000 0.000 0.000
Os -1.067 -0.420 2.934
```

Computed properties:
**N(E_F)**: 2.56 states/eV per cell
**Symmetry**: F-43m, No. 216
**Energy relative to the elements**: -0.177 eV/atom